This record from Alexandria via LeMat-Bulk describes crystalline HoZr2Tl at its relaxed geometry. The functional is PBE.

Cell: 11.7525 11.7525 11.7525 Å, 15.63 15.63 15.63°
Closest atoms and distances in Å follow each position.
Positions (direct):
Ho (0.0000, 0.0000, 0.0000)  2 Zr 3.18, 6 Ho 3.20
Zr (0.0914, 0.0914, 0.0914)  1 Ho 3.18, 6 Zr 3.20, 3 Tl 3.20
Zr (0.9086, 0.9086, 0.9086)  1 Ho 3.18, 6 Zr 3.20, 3 Tl 3.20
Tl (0.5000, 0.5000, 0.5000)  6 Tl 3.20, 6 Zr 3.20

## Properties
**Magnetic moment**: 0.00 μB/atom
**Density of states at the Fermi level**: 5.14 states/eV/cell
**Formation enthalpy at 0 K**: 0.284 eV/atom